(1)
DFT (GGA-PBE) results for an optimized crystal structure of Nb4CuGeN2.

Cell lengths 3.2133, 3.2133, 12.6249 Å; angles 90.00, 90.00, 120.00 degrees
Sites, in units of the cell vectors:
Nb: 0.0000 0.0000 0.1570
Nb: 0.0000 0.0000 0.8430
Nb: 0.6667 0.3333 0.3394
Nb: 0.6667 0.3333 0.6606
Cu: 0.0000 0.0000 0.5000
Ge: 0.6667 0.3333 0.0000
N: 0.3333 0.6667 0.2521
N: 0.3333 0.6667 0.7479

Results
ρ = 7.9 g/cm3
energy = -8.685 eV/atom
calculated volume = 112.9 Å³/cell
size of the total moment = 0.01 μB/f.u.



(2)
DFT (GGA-PBE) results for an optimized crystal structure of RbHgAsO.

Cell lengths 4.0081, 8.1880, 5.7976 Å; angles 90.00, 90.00, 90.00 degrees
Sites, in units of the cell vectors:
Rb: 0.0000 0.1535 0.0000
Rb: 0.0000 0.8465 0.5000
Hg: 0.5000 0.2139 0.4991
Hg: 0.5000 0.7861 0.9991
As: 0.0000 0.4380 0.5098
As: 0.0000 0.5620 0.0098
O: 0.5000 0.0018 0.2526
O: 0.5000 0.9982 0.7526

Results
ΔE to the lowest computed polymorph = 54.8 meV per atom
ρ = 6.6 g/cm3
energy = -3.004 eV/atom
calculated volume = 190.3 Å³/cell



(3)
DFT (GGA-PBE) results for an optimized crystal structure of BaLuCuSe3.

Cell lengths 9.3296, 9.3296, 8.5592 Å; angles 101.45, 101.45, 25.79 degrees
Sites, in units of the cell vectors:
Ba: 0.1327 0.1327 0.0700
Ba: 0.8673 0.8673 0.9300
Lu: 0.1619 0.1619 0.5758
Lu: 0.8381 0.8381 0.4242
Cu: 0.4645 0.4645 0.2964
Cu: 0.5355 0.5355 0.7036
Se: 0.0000 0.0000 0.5000
Se: 0.3220 0.3220 0.6346
Se: 0.3282 0.3282 0.2009
Se: 0.5000 0.5000 0.0000
Se: 0.6718 0.6718 0.7991
Se: 0.6780 0.6780 0.3654

Results
ρ = 6.4 g/cm3
energy = -4.879 eV/atom
calculated volume = 317.3 Å³/cell
size of the total moment = 0.00 μB/f.u.



(4)
DFT (GGA-PBE) results for an optimized crystal structure of Ba2PdCl6.

Cell lengths 9.5159, 6.3661, 8.7177 Å; angles 90.00, 90.92, 90.00 degrees
Sites, in units of the cell vectors:
Ba: 0.2256 0.0618 0.3751
Ba: 0.2256 0.4382 0.8751
Ba: 0.7744 0.5618 0.1249
Ba: 0.7744 0.9382 0.6249
Pd: 0.5000 0.0000 0.0000
Pd: 0.5000 0.5000 0.5000
Cl: 0.0658 0.1324 0.6691
Cl: 0.0658 0.3676 0.1691
Cl: 0.2622 0.5827 0.5142
Cl: 0.2622 0.9173 0.0142
Cl: 0.4608 0.2000 0.6478
Cl: 0.4608 0.3000 0.1478
Cl: 0.5392 0.7000 0.8522
Cl: 0.5392 0.8000 0.3522
Cl: 0.7378 0.0827 0.9858
Cl: 0.7378 0.4173 0.4858
Cl: 0.9342 0.6324 0.8309
Cl: 0.9342 0.8676 0.3309

Results
ρ = 3.7 g/cm3
energy = -4.079 eV/atom
calculated volume = 528.0 Å³/cell